1.
Crystalline CeTl2I6 at its relaxed geometry. Source: Alexandria via LeMat-Bulk, functional PBE.

The structure in CIF format:
```
data_CeTl2I6
_chemical_formula_sum 'Ce2 Tl4 I12'
_space_group_name_H-M_alt 'P 1'
_space_group_IT_number 1
_cell_length_a 8.173
_cell_length_b 8.678
_cell_length_c 11.828
_cell_angle_alpha 90.00
_cell_angle_beta 95.06
_cell_angle_gamma 90.00
loop_
_space_group_symop_operation_xyz
'x,y,z'
loop_
_atom_site_label
_atom_site_type_symbol
_atom_site_fract_x
_atom_site_fract_y
_atom_site_fract_z
I1 I 0.329 0.795 0.062
I2 I 0.699 0.188 0.550
I3 I 0.801 0.688 0.950
Tl1 Tl 0.043 0.600 0.223
I4 I 0.199 0.312 0.050
Ce1 Ce 0.000 0.000 0.500
Tl2 Tl 0.457 0.100 0.277
I5 I 0.829 0.705 0.562
I6 I 0.671 0.205 0.938
Tl3 Tl 0.543 0.900 0.723
I7 I 0.364 0.533 0.755
I8 I 0.136 0.033 0.745
I9 I 0.301 0.812 0.450
Tl4 Tl 0.957 0.400 0.777
I10 I 0.864 0.967 0.255
I11 I 0.636 0.467 0.245
I12 I 0.171 0.295 0.438
Ce2 Ce 0.500 0.500 0.000
```

Summary:
E_form (uncorrected) = -0.948 eV per atom
SG = P2_1/c, No. 14

***

2.
Crystalline Ce2Tl5I12 at its relaxed geometry. Source: Alexandria via LeMat-Bulk, functional PBE.

The structure in CIF format:
```
data_Ce2Tl5I12
_chemical_formula_sum 'Ce2 Tl5 I12'
_space_group_name_H-M_alt 'P 1'
_space_group_IT_number 1
_cell_length_a 9.180
_cell_length_b 10.717
_cell_length_c 11.335
_cell_angle_alpha 107.66
_cell_angle_beta 90.00
_cell_angle_gamma 115.36
loop_
_space_group_symop_operation_xyz
'x,y,z'
loop_
_atom_site_label
_atom_site_type_symbol
_atom_site_fract_x
_atom_site_fract_y
_atom_site_fract_z
Tl1 Tl 0.322 0.644 0.226
I1 I 0.097 0.674 0.925
I2 I 0.423 0.326 0.075
I3 I 0.888 0.285 0.550
Ce1 Ce 0.748 0.000 0.000
I4 I 0.577 0.674 0.925
Tl2 Tl 0.282 0.564 0.620
I5 I 0.396 0.285 0.550
Tl3 Tl 0.718 0.436 0.380
I6 I 0.990 0.979 0.808
I7 I 0.112 0.715 0.450
I8 I 0.491 0.983 0.802
Tl4 Tl 0.000 0.000 0.500
Tl5 Tl 0.678 0.356 0.774
I9 I 0.604 0.715 0.450
I10 I 0.010 0.021 0.192
I11 I 0.903 0.326 0.075
Ce2 Ce 0.252 0.000 0.000
I12 I 0.509 0.017 0.198
```

Summary:
E_form (uncorrected) = -0.905 eV per atom
SG = C2/m, No. 12

***

3.
Crystalline Ce2TlI6 at its relaxed geometry. Source: Alexandria via LeMat-Bulk, functional PBE.

The structure in CIF format:
```
data_Ce2TlI6
_chemical_formula_sum 'Ce2 Tl1 I6'
_space_group_name_H-M_alt 'P 1'
_space_group_IT_number 1
_cell_length_a 8.365
_cell_length_b 8.364
_cell_length_c 8.750
_cell_angle_alpha 61.45
_cell_angle_beta 61.45
_cell_angle_gamma 60.00
loop_
_space_group_symop_operation_xyz
'x,y,z'
loop_
_atom_site_label
_atom_site_type_symbol
_atom_site_fract_x
_atom_site_fract_y
_atom_site_fract_z
I1 I 0.352 0.697 0.862
I2 I 0.697 0.089 0.862
I3 I 0.540 0.235 0.352
Ce1 Ce 0.292 0.292 0.123
I4 I 0.874 0.540 0.352
I5 I 0.089 0.352 0.862
Ce2 Ce 0.466 0.466 0.602
I6 I 0.235 0.874 0.352
Tl1 Tl 0.790 0.790 0.631
```

Summary:
E_form (uncorrected) = -1.144 eV per atom
SG = R3, No. 146

***

4.
Crystalline CeTlI5 at its relaxed geometry. Source: Alexandria via LeMat-Bulk, functional PBE.

The structure in CIF format:
```
data_CeTlI5
_chemical_formula_sum 'Ce2 Tl2 I10'
_space_group_name_H-M_alt 'P 1'
_space_group_IT_number 1
_cell_length_a 8.309
_cell_length_b 8.309
_cell_length_c 12.155
_cell_angle_alpha 95.34
_cell_angle_beta 110.25
_cell_angle_gamma 110.95
loop_
_space_group_symop_operation_xyz
'x,y,z'
loop_
_atom_site_label
_atom_site_type_symbol
_atom_site_fract_x
_atom_site_fract_y
_atom_site_fract_z
Tl1 Tl 0.721 0.471 0.250
I1 I 0.798 0.117 0.127
I2 I 0.202 0.883 0.873
I3 I 0.883 0.216 0.506
Ce1 Ce 0.500 0.000 0.500
I4 I 0.333 0.083 0.250
I5 I 0.210 0.377 0.994
Ce2 Ce 0.000 0.000 0.000
I6 I 0.667 0.917 0.750
Tl2 Tl 0.279 0.529 0.750
I7 I 0.790 0.623 0.006
I8 I 0.510 0.329 0.627
I9 I 0.490 0.671 0.373
I10 I 0.117 0.784 0.494
```

Summary:
E_form (uncorrected) = -0.966 eV per atom
SG = C2/c, No. 15

***

5.
Crystalline Ce6TlI8 at its relaxed geometry. Source: Alexandria via LeMat-Bulk, functional PBE.

The structure in CIF format:
```
data_Ce6TlI8
_chemical_formula_sum 'Ce6 Tl1 I8'
_space_group_name_H-M_alt 'P 1'
_space_group_IT_number 1
_cell_length_a 7.619
_cell_length_b 7.619
_cell_length_c 12.484
_cell_angle_alpha 72.23
_cell_angle_beta 72.23
_cell_angle_gamma 60.00
loop_
_space_group_symop_operation_xyz
'x,y,z'
loop_
_atom_site_label
_atom_site_type_symbol
_atom_site_fract_x
_atom_site_fract_y
_atom_site_fract_z
Ce1 Ce 0.281 0.947 0.160
Ce2 Ce 0.387 0.719 0.840
Tl1 Tl 0.000 0.000 0.000
I1 I 0.111 0.779 0.668
I2 I 0.221 0.558 0.332
I3 I 0.333 0.333 0.000
Ce3 Ce 0.947 0.613 0.160
Ce4 Ce 0.719 0.053 0.840
Ce5 Ce 0.053 0.387 0.840
I4 I 0.889 0.221 0.332
Ce6 Ce 0.613 0.281 0.160
I5 I 0.442 0.111 0.668
I6 I 0.667 0.667 0.000
I7 I 0.779 0.442 0.668
I8 I 0.558 0.889 0.332
```

Summary:
E_form (uncorrected) = -0.985 eV per atom
SG = R-3, No. 148

***

6.
Crystalline CeTl2I4 at its relaxed geometry. Source: Alexandria via LeMat-Bulk, functional PBE.

The structure in CIF format:
```
data_CeTl2I4
_chemical_formula_sum 'Ce1 Tl2 I4'
_space_group_name_H-M_alt 'P 1'
_space_group_IT_number 1
_cell_length_a 4.798
_cell_length_b 7.534
_cell_length_c 8.973
_cell_angle_alpha 95.33
_cell_angle_beta 105.51
_cell_angle_gamma 90.00
loop_
_space_group_symop_operation_xyz
'x,y,z'
loop_
_atom_site_label
_atom_site_type_symbol
_atom_site_fract_x
_atom_site_fract_y
_atom_site_fract_z
I1 I 0.558 0.270 0.116
I2 I 0.160 0.823 0.321
I3 I 0.840 0.177 0.679
I4 I 0.442 0.730 0.884
Tl1 Tl 0.790 0.701 0.579
Tl2 Tl 0.210 0.299 0.421
Ce1 Ce 0.000 0.000 0.000
```

Summary:
E_form (uncorrected) = -0.852 eV per atom
SG = C2/m, No. 12

***

Among the records above, which one has the highest E_form (uncorrected)? CeTl2I4

***

The highest E_form (uncorrected) belongs to which entry? CeTl2I4

***

Please write out number 3 again, unchanged.
Crystalline Ce2TlI6 at its relaxed geometry. Source: Alexandria via LeMat-Bulk, functional PBE.

The structure in CIF format:
```
data_Ce2TlI6
_chemical_formula_sum 'Ce2 Tl1 I6'
_space_group_name_H-M_alt 'P 1'
_space_group_IT_number 1
_cell_length_a 8.365
_cell_length_b 8.364
_cell_length_c 8.750
_cell_angle_alpha 61.45
_cell_angle_beta 61.45
_cell_angle_gamma 60.00
loop_
_space_group_symop_operation_xyz
'x,y,z'
loop_
_atom_site_label
_atom_site_type_symbol
_atom_site_fract_x
_atom_site_fract_y
_atom_site_fract_z
I1 I 0.352 0.697 0.862
I2 I 0.697 0.089 0.862
I3 I 0.540 0.235 0.352
Ce1 Ce 0.292 0.292 0.123
I4 I 0.874 0.540 0.352
I5 I 0.089 0.352 0.862
Ce2 Ce 0.466 0.466 0.602
I6 I 0.235 0.874 0.352
Tl1 Tl 0.790 0.790 0.631
```

Summary:
E_form (uncorrected) = -1.144 eV per atom
SG = R3, No. 146

***

Among the records above, which one has the lowest E_form (uncorrected)? Ce2TlI6